Entry w
Compound: PmTmSb2
Source: Alexandria via LeMat-Bulk
Functional: PBE
Structure: relaxed

Lattice parameters (Å, degrees): 4.3890 4.3890 22.4170 90.00 90.00 120.00
Space group R3m (No. 160, hexagonal axes)
Symmetry-distinct sites (fractional):
Pm1 0.0000 0.0000 0.0000 [3 per cell]
Tm1 0.0000 0.0000 0.8292 [3 per cell]
Sb1 0.0000 0.0000 0.4162 [3 per cell]
Sb2 0.0000 0.0000 0.5792 [3 per cell]

---

Entry x
Compound: PmTmSb2
Source: Alexandria via LeMat-Bulk
Functional: PBE
Structure: relaxed

Lattice parameters (Å, degrees): 4.4189 4.4189 21.5982 90.00 90.00 120.00
Space group R-3m (No. 166, hexagonal axes)
Symmetry-distinct sites (fractional):
Pm1 0.0000 0.0000 0.0000 [3 per cell]
Tm1 0.0000 0.0000 0.5000 [3 per cell]
Sb1 0.0000 0.0000 0.2465 [6 per cell]

---

Entry y
Compound: PmTmSb2
Source: Alexandria via LeMat-Bulk
Functional: PBE
Structure: relaxed

Lattice parameters (Å, degrees): 4.4010 4.4010 14.5398 90.00 90.00 120.00
Space group P6_3/mmc (No. 194)
Symmetry-distinct sites (fractional):
Pm1 0.3333 0.6667 0.2500 [2 per cell]
Tm1 0.0000 0.0000 0.0000 [2 per cell]
Sb1 0.3333 0.6667 0.6179 [4 per cell]

---

Bottom line: entry x, by a margin of 0.056 eV/atom.